No. 1
Density functional theory data (PBE) for a relaxed LaTlMo2 crystal.

a b c (Å): 3.379 5.197 9.959
angles (deg): 90.00 90.00 90.00
Element x y z (fractional)
La (0.000, 0.000, 0.000)
La (0.500, 0.500, 0.000)
Tl (0.000, 0.500, 0.695)
Tl (0.500, 0.000, 0.695)
Mo (0.000, 0.000, 0.443)
Mo (0.000, 0.500, 0.257)
Mo (0.500, 0.000, 0.257)
Mo (0.500, 0.500, 0.443)

## Properties
Total energy (eV/atom): -6.843
Density (g/cm3): 10.2
Excess energy over the best structure of this formula in the dataset (meV per atom): 199
Space group: No. 35

***

No. 2
Density functional theory data (PBE) for a relaxed V8Cr2Mo crystal.

a b c (Å): 2.978 6.722 7.728
angles (deg): 105.70 100.74 90.02
Element x y z (fractional)
V (0.046, 0.228, 0.091)
V (0.142, 0.690, 0.284)
V (0.315, 0.595, 0.630)
V (0.406, 0.034, 0.809)
V (0.594, 0.966, 0.191)
V (0.685, 0.405, 0.370)
V (0.858, 0.310, 0.716)
V (0.954, 0.772, 0.909)
Cr (0.228, 0.133, 0.457)
Cr (0.772, 0.867, 0.543)
Mo (0.500, 0.500, 0.000)

## Properties
Total energy (eV/atom): -9.416
Density (g/cm3): 6.9
Excess energy over the best structure of this formula in the dataset (meV per atom): 0
Space group: No. 2

***

No. 3
Density functional theory data (PBE) for a relaxed BeSeIBr2 crystal.

a b c (Å): 4.470 4.470 6.664
angles (deg): 90.00 90.00 90.00
Element x y z (fractional)
Be (0.000, 0.000, 0.000)
Se (0.000, 0.000, 0.500)
I (0.500, 0.500, 0.500)
Br (0.000, 0.500, 0.000)
Br (0.500, 0.000, 0.000)

## Properties
Total energy (eV/atom): -2.422
Formation energy without anion corrections (eV/atom): -0.001
Density (g/cm3): 4.7
Excess energy over the best structure of this formula in the dataset (meV per atom): 0
Space group: No. 123

***

No. 4
Density functional theory data (PBE) for a relaxed ScTc2Br crystal.

a b c (Å): 3.173 4.989 8.883
angles (deg): 90.00 90.00 90.00
Element x y z (fractional)
Sc (0.000, 0.000, 0.000)
Sc (0.500, 0.500, 0.000)
Tc (0.000, 0.500, 0.247)
Tc (0.000, 0.500, 0.753)
Tc (0.500, 0.000, 0.247)
Tc (0.500, 0.000, 0.753)
Br (0.000, 0.000, 0.500)
Br (0.500, 0.500, 0.500)

## Properties
Total energy (eV/atom): -6.590
Formation energy without anion corrections (eV/atom): 0.595
Density (g/cm3): 7.6
Excess energy over the best structure of this formula in the dataset (meV per atom): 765
Space group: No. 65

***

No. 5
Density functional theory data (PBE) for a relaxed MgZnN2F crystal.

a b c (Å): 4.197 4.197 3.719
angles (deg): 90.00 90.00 90.00
Element x y z (fractional)
Mg (0.000, 0.000, 0.000)
Zn (0.500, 0.500, 0.500)
N (0.000, 0.500, 0.000)
N (0.500, 0.000, 0.000)
F (0.000, 0.000, 0.500)

## Properties
Total energy (eV/atom): -3.888
Formation energy without anion corrections (eV/atom): 0.390
Density (g/cm3): 3.5
Excess energy over the best structure of this formula in the dataset (meV per atom): 112
Space group: No. 123

***

No. 6
Density functional theory data (PBE) for a relaxed NaPRuS2 crystal.

a b c (Å): 4.893 4.893 4.430
angles (deg): 90.00 90.00 90.00
Element x y z (fractional)
Na (0.000, 0.000, 0.000)
P (0.500, 0.500, 0.000)
Ru (0.500, 0.500, 0.500)
S (0.000, 0.500, 0.500)
S (0.500, 0.000, 0.500)

## Properties
Total energy (eV/atom): -4.760
Formation energy without anion corrections (eV/atom): 0.092
Density (g/cm3): 3.4
Excess energy over the best structure of this formula in the dataset (meV per atom): 0
Space group: No. 123

***

No. 7
Density functional theory data (PBE) for a relaxed LaHfS3 crystal.

a b c (Å): 5.340 5.340 5.340
angles (deg): 90.00 90.00 90.00
Element x y z (fractional)
La (0.000, 0.000, 0.000)
Hf (0.500, 0.500, 0.500)
S (0.000, 0.000, 0.500)
S (0.000, 0.500, 0.000)
S (0.500, 0.000, 0.000)

## Properties
Total energy (eV/atom): -5.475
Formation energy without anion corrections (eV/atom): -0.022
Density (g/cm3): 4.5
Excess energy over the best structure of this formula in the dataset (meV per atom): 1805
Space group: No. 221

***

No. 8
Density functional theory data (PBE) for a relaxed LaAgHgPb crystal.

a b c (Å): 7.499 7.499 7.499
angles (deg): 90.00 90.00 90.00
Element x y z (fractional)
La (0.000, 0.000, 0.000)
La (0.000, 0.500, 0.500)
La (0.500, 0.000, 0.500)
La (0.500, 0.500, 0.000)
Ag (0.250, 0.250, 0.250)
Ag (0.250, 0.750, 0.750)
Ag (0.750, 0.250, 0.750)
Ag (0.750, 0.750, 0.250)
Hg (0.250, 0.250, 0.750)
Hg (0.250, 0.750, 0.250)
Hg (0.750, 0.250, 0.250)
Hg (0.750, 0.750, 0.750)
Pb (0.000, 0.000, 0.500)
Pb (0.000, 0.500, 0.000)
Pb (0.500, 0.000, 0.000)
Pb (0.500, 0.500, 0.500)

## Properties
Total energy (eV/atom): -3.313
Density (g/cm3): 10.3
Excess energy over the best structure of this formula in the dataset (meV per atom): 5
Space group: No. 216

***

No. 9
Density functional theory data (PBE) for a relaxed Rb3CaP crystal.

a b c (Å): 6.710 6.710 6.710
angles (deg): 90.00 90.00 90.00
Element x y z (fractional)
Rb (0.000, 0.000, 0.500)
Rb (0.000, 0.500, 0.000)
Rb (0.500, 0.000, 0.000)
Ca (0.500, 0.500, 0.500)
P (0.000, 0.000, 0.000)

## Properties
Total energy (eV/atom): -1.884
Density (g/cm3): 1.8
Excess energy over the best structure of this formula in the dataset (meV per atom): 0
Space group: No. 221

***

No. 10
Density functional theory data (PBE) for a relaxed CePaSi4 crystal.

a b c (Å): 4.009 4.009 14.307
angles (deg): 90.00 90.00 90.00
Element x y z (fractional)
Ce (0.000, 0.000, 0.000)
Ce (0.500, 0.500, 0.500)
Pa (0.000, 0.500, 0.250)
Pa (0.500, 0.000, 0.750)
Si (0.000, 0.000, 0.416)
Si (0.000, 0.000, 0.584)
Si (0.000, 0.500, 0.669)
Si (0.000, 0.500, 0.831)
Si (0.500, 0.000, 0.169)
Si (0.500, 0.000, 0.331)
Si (0.500, 0.500, 0.084)
Si (0.500, 0.500, 0.916)

## Properties
Total energy (eV/atom): -6.771
Formation energy without anion corrections (eV/atom): -0.584
Density (g/cm3): 7.0
Excess energy over the best structure of this formula in the dataset (meV per atom): 0
Space group: No. 119

***

No. 11
Density functional theory data (PBE) for a relaxed Mg2SnSb crystal.

a b c (Å): 8.061 8.061 6.480
angles (deg): 90.00 90.00 90.00
Element x y z (fractional)
Mg (0.235, 0.250, 0.125)
Mg (0.250, 0.735, 0.375)
Mg (0.250, 0.765, 0.875)
Mg (0.265, 0.250, 0.625)
Mg (0.735, 0.750, 0.625)
Mg (0.750, 0.235, 0.875)
Mg (0.750, 0.265, 0.375)
Mg (0.765, 0.750, 0.125)
Sn (0.000, 0.000, 0.500)
Sn (0.000, 0.500, 0.750)
Sn (0.500, 0.000, 0.250)
Sn (0.500, 0.500, 0.000)
Sb (0.000, 0.000, 0.000)
Sb (0.000, 0.500, 0.250)
Sb (0.500, 0.000, 0.750)
Sb (0.500, 0.500, 0.500)

## Properties
Total energy (eV/atom): -2.861
Formation energy without anion corrections (eV/atom): -0.033
Density (g/cm3): 4.6
Excess energy over the best structure of this formula in the dataset (meV per atom): 132
Space group: No. 122

***

No. 12
Density functional theory data (PBE) for a relaxed KOsN3 crystal.

a b c (Å): 3.915 3.915 3.915
angles (deg): 90.00 90.00 90.00
Element x y z (fractional)
K (0.000, 0.000, 0.000)
Os (0.500, 0.500, 0.500)
N (0.000, 0.500, 0.500)
N (0.500, 0.000, 0.500)
N (0.500, 0.500, 0.000)

## Properties
Total energy (eV/atom): -6.834
Formation energy without anion corrections (eV/atom): 0.627
Density (g/cm3): 7.5
Space group: No. 221